No. 1
AsIrAu after structural relaxation. Source: Alexandria via LeMat-Bulk, functional PBE.

## Properties
**Magnetic moment**: 0.000 μB/f.u.
**Total DFT energy (no corrections)**: -5.41 eV/atom
**ρ**: 14.77 g/cm3
**Energy relative to the elements**: 18.4 kJ per mole of atoms
**Energy above the lowest structure with this stoichiometry**: 0.064 eV/atom

a = 4.187 Å, b = 4.187 Å, c = 3.437 Å
α = 90.00°, β = 90.00°, γ = 120.00°
Sites, in units of the cell vectors:
As (0.000, 0.000, 0.000)
Ir (0.333, 0.667, 0.000)
Au (0.667, 0.333, 0.500)



No. 2
KS6Cl after structural relaxation. Source: Alexandria via LeMat-Bulk, functional PBE.

## Properties
**Magnetic moment**: 0.000 μB/f.u.
**Total DFT energy (no corrections)**: -3.74 eV/atom
**ρ**: 2.10 g/cm3
**Formation energy (no corrections)**: -0.277 eV/atom

a = 4.476 Å, b = 5.795 Å, c = 8.966 Å
α = 87.95°, β = 76.58°, γ = 69.08°
Sites, in units of the cell vectors:
K (0.000, 0.000, 0.000)
S (0.226, 0.299, 0.685)
S (0.236, 0.423, 0.288)
S (0.430, 0.430, 0.842)
S (0.570, 0.570, 0.158)
S (0.764, 0.577, 0.712)
S (0.774, 0.701, 0.315)
Cl (0.000, 0.000, 0.500)



No. 3
Ca2SmPt after structural relaxation. Source: Alexandria via LeMat-Bulk, functional PBE.

## Properties
**Magnetic moment**: 0.003 μB/f.u.
**Total DFT energy (no corrections)**: -4.28 eV/atom
**ρ**: 5.78 g/cm3
**Energy relative to the elements**: -56.5 kJ per mole of atoms
**Energy above the lowest structure with this stoichiometry**: 0.008 eV/atom

a = 6.646 Å, b = 6.646 Å, c = 9.670 Å
α = 90.00°, β = 90.00°, γ = 145.04°
Sites, in units of the cell vectors:
Ca (0.145, 0.855, 0.566)
Ca (0.145, 0.855, 0.934)
Ca (0.855, 0.145, 0.066)
Ca (0.855, 0.145, 0.434)
Sm (0.419, 0.581, 0.750)
Sm (0.581, 0.419, 0.250)
Pt (0.238, 0.762, 0.250)
Pt (0.762, 0.238, 0.750)



No. 4
MgCd2In after structural relaxation. Source: Alexandria via LeMat-Bulk, functional PBE.

## Properties
**Magnetic moment**: 0.000 μB/f.u.
**Total DFT energy (no corrections)**: -1.58 eV/atom
**ρ**: 6.49 g/cm3
**Energy relative to the elements**: -3.8 kJ per mole of atoms

a = 5.617 Å, b = 5.617 Å, c = 5.371 Å
α = 97.26°, β = 97.26°, γ = 33.66°
Sites, in units of the cell vectors:
Mg (0.000, 0.000, 0.000)
Cd (0.496, 0.496, 0.491)
Cd (0.743, 0.743, 0.247)
In (0.252, 0.252, 0.755)



No. 5
HoPaPdS4 after structural relaxation. Source: Alexandria via LeMat-Bulk, functional PBE.

## Properties
**Magnetic moment**: 0.000 μB/f.u.
**Total DFT energy (no corrections)**: -6.50 eV/atom
**ρ**: 6.97 g/cm3
**Formation energy (no corrections)**: -1.390 eV/atom

a = 6.356 Å, b = 6.622 Å, c = 7.423 Å
α = 90.00°, β = 105.86°, γ = 90.00°
Sites, in units of the cell vectors:
Ho (0.198, 0.250, 0.041)
Ho (0.802, 0.750, 0.959)
Pa (0.221, 0.250, 0.550)
Pa (0.779, 0.750, 0.450)
Pd (0.241, 0.750, 0.337)
Pd (0.759, 0.250, 0.663)
S (0.024, 0.516, 0.751)
S (0.024, 0.984, 0.751)
S (0.485, 0.750, 0.128)
S (0.490, 0.750, 0.639)
S (0.510, 0.250, 0.361)
S (0.515, 0.250, 0.872)
S (0.976, 0.016, 0.249)
S (0.976, 0.484, 0.249)



No. 6
VRe after structural relaxation. Source: Alexandria via LeMat-Bulk, functional PBE.

## Properties
**Magnetic moment**: 0.000 μB/f.u.
**Total DFT energy (no corrections)**: -11.05 eV/atom
**ρ**: 13.87 g/cm3
**Energy relative to the elements**: -26.1 kJ per mole of atoms

a = 2.665 Å, b = 2.665 Å, c = 4.258 Å
α = 90.00°, β = 90.00°, γ = 110.24°
Sites, in units of the cell vectors:
V (0.000, 0.000, 0.000)
Re (0.500, 0.500, 0.500)



No. 7
KW after structural relaxation. Source: Alexandria via LeMat-Bulk, functional PBE.

## Properties
**Magnetic moment**: 0.000 μB/f.u.
**Total DFT energy (no corrections)**: -5.81 eV/atom
**ρ**: 5.19 g/cm3
**Energy relative to the elements**: 116.9 kJ per mole of atoms
**Energy above the lowest structure with this stoichiometry**: 0.289 eV/atom

a = 15.661 Å, b = 3.193 Å, c = 8.558 Å
α = 90.00°, β = 90.00°, γ = 90.00°
Sites, in units of the cell vectors:
K (0.000, 0.011, 0.000)
K (0.223, 0.489, 0.304)
K (0.277, 0.511, 0.804)
K (0.500, 0.989, 0.500)
K (0.723, 0.511, 0.804)
K (0.777, 0.489, 0.304)
W (0.000, 0.497, 0.429)
W (0.080, 0.996, 0.602)
W (0.420, 0.004, 0.102)
W (0.500, 0.503, 0.929)
W (0.580, 0.004, 0.102)
W (0.920, 0.996, 0.602)



No. 8
TbPaOsRu after structural relaxation. Source: Alexandria via LeMat-Bulk, functional PBE.

## Properties
**Magnetic moment**: 0.000 μB/f.u.
**Total DFT energy (no corrections)**: -8.96 eV/atom
**ρ**: 13.98 g/cm3
**Energy relative to the elements**: -28.9 kJ per mole of atoms

a = 4.855 Å, b = 4.855 Å, c = 4.855 Å
α = 60.00°, β = 60.00°, γ = 60.00°
Sites, in units of the cell vectors:
Tb (0.000, 0.000, 0.000)
Pa (0.500, 0.500, 0.500)
Os (0.750, 0.750, 0.750)
Ru (0.250, 0.250, 0.250)